Compound: AgMoIN2
Source: Alexandria via LeMat-Bulk
Functional: PBE
Structure: relaxed

The structure in POSCAR format:
```
AgMoIN2
1.0
4.193 0.000 0.000
0.000 4.193 0.000
0.000 0.000 6.230
Ag Mo I N
1 1 1 2
Cartesian
0.000 0.000 0.000 Ag
2.097 2.097 3.115 Mo
0.000 0.000 3.115 I
0.000 2.097 0.000 N
2.097 0.000 0.000 N
```

Summary:
magnetization = 0.99 μB per formula unit
energy relative to the elements, uncorrected = 50.9 kcal/mol of atoms
density of states at the Fermi level = 2.7 states/eV/f.u.
energy = -4.171 eV/atom
polymorph energy (0 for the lowest one) = 8.11 eV/f.u.
volume = 21.91 Å³ per atom

=====

Compound: TmTh3Fe
Source: Alexandria via LeMat-Bulk
Functional: PBE
Structure: relaxed

The structure in POSCAR format:
```
TmTh3Fe
1.0
5.308 0.000 0.000
0.000 5.308 0.000
0.000 0.000 5.308
Tm Th Fe
1 3 1
Cartesian
0.000 0.000 0.000 Tm
0.000 2.654 2.654 Th
2.654 0.000 2.654 Th
2.654 2.654 0.000 Th
2.654 2.654 2.654 Fe
```

Summary:
magnetization = 0.00 μB per formula unit
ΔH_f (0 K) = 71 meV/atom
density of states at the Fermi level = 9.9 states/eV/f.u.
energy = -6.968 eV/atom
volume = 29.91 Å³ per atom